1.
A relaxed CdPtBr2 crystal. Source: the Alexandria database, functional PBE.

```
4
Lattice="-1.105 -4.641 -0.705 3.609 -0.043 -3.199 2.422 -0.994 2.746" Properties=species:S:1:pos:R:3 pbc="T T T"
Br 0.000 0.000 0.000
Br 1.252 -2.342 -1.952
Pt 3.015 -0.518 -0.227
Cd 0.658 -2.818 1.020
```

Results
Its space-group type is Cmmm. For the formation energy without anion corrections, the calculation gives 0.387 eV/atom. Its calculated volume is 22.01 Å³/atom. The energy comes out at -2.189 eV per atom.

2.
A relaxed CdPtBr3 crystal. Source: the Alexandria database, functional PBE.

```
5
Lattice="-1.444 1.652 4.692 -1.422 -4.819 1.260 4.767 -0.937 1.797" Properties=species:S:1:pos:R:3 pbc="T T T"
Cd 0.951 -2.052 3.874
Pt 0.000 0.000 0.000
Br -0.711 -2.410 0.630
Br 2.384 -0.469 0.898
Br -0.722 0.826 2.346
```

Results
Its space-group type is Pm-3m. For the formation energy without anion corrections, the calculation gives -0.044 eV/atom. Its calculated volume is 27.80 Å³/atom. The energy comes out at -2.439 eV per atom.

3.
A relaxed CdPtBr2 crystal. Source: the Alexandria database, functional PBE.

```
4
Lattice="-5.411 4.347 -0.289 -4.698 2.087 4.673 6.694 -1.129 -1.477" Properties=species:S:1:pos:R:3 pbc="T T T"
Br 0.000 0.000 0.000
Br -1.530 2.087 2.694
Pt -1.886 3.217 0.213
Cd -5.055 3.217 2.192
```

Results
Its space-group type is I-4m2. For the formation energy without anion corrections, the calculation gives 0.169 eV/atom. Its calculated volume is 24.11 Å³/atom. The energy comes out at -2.406 eV per atom.

4.
A relaxed CdPtBr2 crystal. Source: the Alexandria database, functional PBE.

```
4
Lattice="-2.071 4.611 0.853 -2.424 -2.493 3.766 0.661 1.907 4.729" Properties=species:S:1:pos:R:3 pbc="T T T"
Br 0.000 0.000 0.000
Br -2.247 1.059 2.309
Pt -0.882 -0.293 4.248
Cd -0.705 3.259 2.791
```

Results
Its space-group type is C2/m. For the formation energy without anion corrections, the calculation gives 0.086 eV/atom. Its calculated volume is 25.27 Å³/atom. The energy comes out at -2.489 eV per atom.